[1]
Computed, not measured: a relaxed Mg2CdRe crystal at the PBE-GGA level of DFT.

Unit cell a=4.3038 b=2.8297 c=6.5872 alpha=64.33 beta=90.00 gamma=90.00
With the nearest neighbours (Å) after each atom.
Element x y z (fractional)
Cd  0.5000  0.7500  0.7500  2 Cd 2.83, 2 Re 2.97, 8 Mg 3.04
Mg  0.0000  0.9783  0.0219  3 Mg 2.71-2.83, 4 Re 2.91
Mg  0.0000  0.5217  0.4781  3 Mg 2.71-2.83, 4 Re 2.91
Re  0.5000  0.2500  0.2500  2 Re 2.83, 8 Mg 2.91, 2 Cd 2.97

ΔE_f in eV per atom: 0.300
Electronic total energy in eV/atom: -3.84
Fermi-level density of states in states/eV/f.u.: 2.5
Space-group type: No. 10


[2]
Computed, not measured: a relaxed MnAgW crystal at the PBE-GGA level of DFT.

Unit cell a=4.1868 b=4.1868 c=4.1868 alpha=60.00 beta=60.00 gamma=60.00
With the nearest neighbours (Å) after each atom.
Element x y z (fractional)
Ag  0.5000  0.5000  0.5000  4 Mn 2.56
Mn  0.7500  0.7500  0.7500  4 Ag 2.56, 4 W 2.56
W  0.0000  0.0000  0.0000  4 Mn 2.56

ΔE_f in eV per atom: 1.047
Electronic total energy in eV/atom: -7.28
Fermi-level density of states in states/eV/f.u.: 2.8
Excess energy over the best structure of this formula in the dataset in meV per atom: 621
Space-group type: No. 216


[3]
Computed, not measured: a relaxed ScCd2As crystal at the PBE-GGA level of DFT.

Unit cell a=3.7660 b=3.7497 c=6.5583 alpha=73.53 beta=90.00 gamma=90.00
With the nearest neighbours (Å) after each atom.
Element x y z (fractional)
As  0.5000  0.9790  0.6702  4 Sc 2.74, 3 Cd 2.76-2.95
Cd  0.0000  0.7950  0.0307  4 Cd 2.94-2.95, 2 As 2.95
Cd  0.5000  0.1959  0.2320  1 As 2.76, 4 Cd 2.94-2.95
Sc  0.0000  0.5302  0.5671  4 As 2.74

ΔE_f in eV per atom: -0.441
Electronic total energy in eV/atom: -3.64
Fermi-level density of states in states/eV/f.u.: 1.3
Space-group type: No. 6


[4]
Computed, not measured: a relaxed LiOsRh crystal at the PBE-GGA level of DFT.

Unit cell a=7.4623 b=2.7107 c=4.3557 alpha=90.00 beta=75.11 gamma=90.00
With the nearest neighbours (Å) after each atom.
Element x y z (fractional)
Os  0.5093  0.1417  0.7663  2 Rh 2.58, 6 Os 2.63-2.71, 1 Li 2.79
Os  0.6026  0.6418  0.2305  2 Rh 2.58, 6 Os 2.63-2.71, 1 Li 2.79
Rh  0.9054  0.1418  0.1466  5 Li 2.56-2.81, 2 Os 2.58, 4 Rh 2.66-2.71
Rh  0.2066  0.6417  0.8500  5 Li 2.56-2.81, 2 Os 2.58, 4 Rh 2.66-2.71
Li  0.8753  0.6420  0.6548  5 Rh 2.56-2.81, 2 Li 2.71, 1 Os 2.79
Li  0.2367  0.1419  0.3417  5 Rh 2.56-2.81, 2 Li 2.71, 1 Os 2.79

ΔE_f in eV per atom: 0.000
Electronic total energy in eV/atom: -6.83
Fermi-level density of states in states/eV/f.u.: 1.7
Excess energy over the best structure of this formula in the dataset in meV per atom: 10
Space-group type: No. 11


[5]
Computed, not measured: a relaxed Sr4HRh2 crystal at the PBE-GGA level of DFT.

Unit cell a=4.8535 b=4.8535 c=8.6337 alpha=106.32 beta=106.32 gamma=90.00
With the nearest neighbours (Å) after each atom.
Element x y z (fractional)
Sr  0.8127  0.8127  0.6253  1 H 2.97, 1 Rh 2.98
Sr  0.1873  0.1873  0.3747  1 H 2.97, 1 Rh 2.98
Sr  0.0000  0.5000  0.0000  2 H 2.43
Sr  0.5000  0.0000  0.0000  2 H 2.43
Rh  0.6245  0.6245  0.2489  5 Sr 2.98-3.13
Rh  0.3755  0.3755  0.7511  5 Sr 2.98-3.13
H  0.0000  0.0000  0.0000  4 Sr 2.43

Electronic total energy in eV/atom: -3.72
Fermi-level density of states in states/eV/f.u.: 2.5
Space-group type: No. 139


[6]
Computed, not measured: a relaxed VPdS2 crystal at the PBE-GGA level of DFT.

Unit cell a=6.4828 b=7.0451 c=3.1617 alpha=90.04 beta=104.13 gamma=76.64
With the nearest neighbours (Å) after each atom.
Element x y z (fractional)
S  0.1093  0.4590  0.8673  3 V 2.26-2.37, 1 Pd 2.38
S  0.6942  0.7674  0.1601  2 V 2.33, 2 Pd 2.37-2.47
S  0.6744  0.2867  0.1493  3 V 2.26-2.37, 1 Pd 2.38
S  0.0895  0.9783  0.8565  2 V 2.33, 2 Pd 2.37-2.47
Pd  0.3625  0.6624  0.9941  3 S 2.37-2.47
Pd  0.4212  0.0834  0.0224  3 S 2.37-2.47
V  0.0434  0.2286  0.3340  5 S 2.26-2.37
V  0.7403  0.5171  0.6827  5 S 2.26-2.37

Formation energy (no corrections) in eV per atom: -0.64
Electronic total energy in eV/atom: -6.28
Fermi-level density of states in states/eV/f.u.: 2.4
Space-group type: No. 2